# 1
The following is a PBEsol calculation of a relaxed structure of YAg2Ru, from Alexandria.

Computed properties:
The value obtained for the distance to the lowest polymorph of the same formula is 0.101 eV/atom. For the formation energy, the calculation gives 145 meV per atom.

a b c (Å): 2.954 4.817 5.200
angles (deg): 90.00 103.26 90.00
Fractional coordinates of all 4 atoms:
Ag 0.674 0.000 0.771
Ag 0.326 0.000 0.229
Ru 0.500 0.500 0.000
Y 0.000 0.500 0.500

# 2
The following is a PBEsol calculation of a relaxed structure of YAgRu3, from Alexandria.

Computed properties:
For the formation energy, the calculation gives 1721 meV per atom.

a b c (Å): 4.725 4.725 4.725
angles (deg): 90.00 90.00 90.00
Fractional coordinates of all 5 atoms:
Y 0.500 0.500 0.500
Ru 0.000 0.500 0.000
Ru 0.000 0.000 0.500
Ru 0.500 0.000 0.000
Ag 0.000 0.000 0.000

# 3
The following is a PBEsol calculation of a relaxed structure of YAg2Ru, from Alexandria.

Computed properties:
The value obtained for the distance to the lowest polymorph of the same formula is 0.478 eV/atom. For the formation energy, the calculation gives 522 meV per atom.

a b c (Å): 2.883 2.883 9.945
angles (deg): 81.67 81.67 60.00
Fractional coordinates of all 4 atoms:
Ag 0.243 0.243 0.270
Ag 0.757 0.757 0.730
Ru 0.500 0.500 0.500
Y 0.000 0.000 0.000

# 4
The following is a PBEsol calculation of a relaxed structure of YAgRu2, from Alexandria.

Computed properties:
The value obtained for the distance to the lowest polymorph of the same formula is 0.259 eV/atom. For the formation energy, the calculation gives 393 meV per atom.

a b c (Å): 3.386 3.386 5.972
angles (deg): 90.00 90.00 90.00
Fractional coordinates of all 4 atoms:
Ag 0.500 0.500 0.500
Ru 0.000 0.000 0.720
Ru 0.000 0.000 0.280
Y 0.500 0.500 0.000

# 5
The following is a PBEsol calculation of a relaxed structure of YAg2Ru, from Alexandria.

Computed properties:
The value obtained for the distance to the lowest polymorph of the same formula is 0.122 eV/atom. For the formation energy, the calculation gives 166 meV per atom.

a b c (Å): 3.606 3.606 5.605
angles (deg): 90.00 90.00 90.00
Fractional coordinates of all 4 atoms:
Ag 0.000 0.000 0.767
Ag 0.000 0.000 0.233
Ru 0.500 0.500 0.000
Y 0.500 0.500 0.500

# 6
The following is a PBEsol calculation of a relaxed structure of YAgRu2, from Alexandria.

Computed properties:
The value obtained for the distance to the lowest polymorph of the same formula is 0.000 eV/atom. For the formation energy, the calculation gives 134 meV per atom.

a b c (Å): 2.937 3.826 6.047
angles (deg): 90.00 90.00 90.00
Fractional coordinates of all 4 atoms:
Ag 0.500 0.500 0.771
Ru 0.000 0.000 0.035
Ru 0.500 0.500 0.208
Y 0.000 0.000 0.486

# 7
The following is a PBEsol calculation of a relaxed structure of Zn3AgRu, from Alexandria.

Computed properties:
For the formation energy, the calculation gives 1187 meV per atom.

a b c (Å): 4.577 4.577 4.577
angles (deg): 90.00 90.00 90.00
Fractional coordinates of all 5 atoms:
Ru 0.500 0.500 0.500
Zn 0.000 0.500 0.000
Zn 0.000 0.000 0.500
Zn 0.500 0.000 0.000
Ag 0.000 0.000 0.000

# 8
The following is a PBEsol calculation of a relaxed structure of Zn2AgRu, from Alexandria.

Computed properties:
For the formation energy, the calculation gives 4 meV per atom.

a b c (Å): 3.068 3.068 5.959
angles (deg): 90.00 90.00 90.00
Fractional coordinates of all 4 atoms:
Ru 0.500 0.500 0.500
Zn 0.000 0.000 0.731
Zn 0.000 0.000 0.269
Ag 0.500 0.500 0.000

# 9
The following is a PBEsol calculation of a relaxed structure of ZrAgRu3, from Alexandria.

Computed properties:
For the formation energy, the calculation gives 1789 meV per atom.

a b c (Å): 4.675 4.675 4.675
angles (deg): 90.00 90.00 90.00
Fractional coordinates of all 5 atoms:
Ru 0.000 0.500 0.000
Ru 0.000 0.000 0.500
Ru 0.500 0.000 0.000
Zr 0.000 0.000 0.000
Ag 0.500 0.500 0.500

# 10
The following is a PBEsol calculation of a relaxed structure of ZrAg2Ru, from Alexandria.

Computed properties:
The value obtained for the distance to the lowest polymorph of the same formula is 0.000 eV/atom. For the formation energy, the calculation gives -131 meV per atom.

a b c (Å): 3.815 3.815 4.497
angles (deg): 90.00 90.00 90.00
Fractional coordinates of all 4 atoms:
Ag 0.000 0.500 0.000
Ag 0.500 0.000 0.000
Ru 0.500 0.500 0.500
Zr 0.000 0.000 0.500

# 11
The following is a PBEsol calculation of a relaxed structure of Zr2AgRu, from Alexandria.

Computed properties:
For the formation energy, the calculation gives -308 meV per atom.

a b c (Å): 3.196 3.196 7.108
angles (deg): 90.00 90.00 90.00
Fractional coordinates of all 4 atoms:
Ru 0.500 0.500 0.500
Zr 0.000 0.000 0.729
Zr 0.000 0.000 0.271
Ag 0.500 0.500 0.000

# 12
The following is a PBEsol calculation of a relaxed structure of ZrAg2Ru, from Alexandria.

Computed properties:
The value obtained for the distance to the lowest polymorph of the same formula is 0.489 eV/atom. For the formation energy, the calculation gives 358 meV per atom.

a b c (Å): 2.804 2.804 8.502
angles (deg): 90.00 90.00 90.00
Fractional coordinates of all 4 atoms:
Ag 0.000 0.000 0.765
Ag 0.000 0.000 0.235
Ru 0.500 0.500 0.000
Zr 0.500 0.500 0.500